# AgPt3 PBEsol optimized geometry
# Crystal system: orthorhombic
# Final energy (eV/atom): -6.02
# Calculated formation energy (eV per formula unit): 0.1
data_AgPt3
_chemical_formula_sum 'Ag6 Pt18'
_symmetry_space_group_name_H-M 'I m m m'
_symmetry_Int_Tables_number 71
_symmetry_space_group_name_Hall '-I 2 2'
_cell_length_a 3.931
_cell_length_b 7.991
_cell_length_c 11.669
_cell_angle_alpha 90.00
_cell_angle_beta 90.00
_cell_angle_gamma 90.00
loop_
_atom_site_label
_atom_site_type_symbol
_atom_site_fract_x
_atom_site_fract_y
_atom_site_fract_z
Ag1 Ag 0.000 0.000 0.000
Ag2 Ag 0.000 0.500 0.340
Pt1 Pt 0.000 0.000 0.329
Pt2 Pt 0.000 0.237 0.500
Pt3 Pt 0.000 0.257 0.167
Pt4 Pt 0.000 0.500 0.000

# Sr2TiAgRu PBEsol optimized geometry
# Crystal system: tetragonal
# Final energy (eV/atom): -3.52
# Calculated formation energy (eV per formula unit): 7.9
data_Sr2TiAgRu
_chemical_formula_sum 'Sr2 Ti1 Ag1 Ru1'
_symmetry_space_group_name_H-M 'P 4/m m m'
_symmetry_Int_Tables_number 123
_symmetry_space_group_name_Hall '-P 4 2'
_cell_length_a 5.649
_cell_length_b 5.649
_cell_length_c 4.722
_cell_angle_alpha 90.00
_cell_angle_beta 90.00
_cell_angle_gamma 90.00
loop_
_atom_site_label
_atom_site_type_symbol
_atom_site_fract_x
_atom_site_fract_y
_atom_site_fract_z
Sr1 Sr 0.000 0.500 0.000
Ti1 Ti 0.000 0.000 0.000
Ag1 Ag 0.000 0.000 0.500
Ru1 Ru 0.500 0.500 0.500

# HgSb PBEsol optimized geometry
# Crystal system: trigonal
# Final energy (eV/atom): -2.54
# Formation energy from raw total energies (eV/atom): 0.025
data_HgSb
_chemical_formula_sum 'Hg6 Sb6'
_symmetry_space_group_name_H-M 'R -3 m'
_symmetry_Int_Tables_number 166
_symmetry_space_group_name_Hall '-R 3 2"'
_cell_length_a 4.1542
_cell_length_b 4.1542
_cell_length_c 21.8525
_cell_angle_alpha 90.00
_cell_angle_beta 90.00
_cell_angle_gamma 120.00
loop_
_atom_site_label
_atom_site_type_symbol
_atom_site_fract_x
_atom_site_fract_y
_atom_site_fract_z
Hg1 Hg 0.0000 0.0000 0.1278
Sb1 Sb 0.0000 0.0000 0.3724

# Cs2TeAuN PBEsol optimized geometry
# Crystal system: tetragonal
# Final energy (eV/atom): -3.03
# Formation energy from raw total energies (eV/atom): 0.545
data_Cs2TeAuN
_chemical_formula_sum 'Cs2 Te1 Au1 N1'
_symmetry_space_group_name_H-M 'P 4/m m m'
_symmetry_Int_Tables_number 123
_symmetry_space_group_name_Hall '-P 4 2'
_cell_length_a 7.236
_cell_length_b 7.236
_cell_length_c 5.212
_cell_angle_alpha 90.00
_cell_angle_beta 90.00
_cell_angle_gamma 90.00
loop_
_atom_site_label
_atom_site_type_symbol
_atom_site_fract_x
_atom_site_fract_y
_atom_site_fract_z
Cs1 Cs 0.000 0.500 0.000
Te1 Te 0.000 0.000 0.000
Au1 Au 0.000 0.000 0.500
N1 N 0.500 0.500 0.500

# AlCdOs2 PBEsol optimized geometry
# Crystal system: orthorhombic
# Final energy (eV/atom): -7.07
# Calculated formation energy (eV per formula unit): 1.4
data_AlCdOs2
_chemical_formula_sum 'Al1 Cd1 Os2'
_symmetry_space_group_name_H-M 'P m m m'
_symmetry_Int_Tables_number 47
_cell_length_a 2.765
_cell_length_b 3.807
_cell_length_c 5.901
_cell_angle_alpha 90.00
_cell_angle_beta 90.00
_cell_angle_gamma 90.00
loop_
_symmetry_equiv_pos_as_xyz
'x,y,z'
'-x,-y,-z'
'-x,-y,z'
'x,y,-z'
'x,-y,-z'
'-x,y,z'
'-x,y,-z'
'x,-y,z'
loop_
_atom_site_label
_atom_site_type_symbol
_atom_site_fract_x
_atom_site_fract_y
_atom_site_fract_z
Al1 Al 0.000 0.000 0.000
Cd1 Cd 0.000 0.000 0.500
Os1 Os 0.500 0.500 0.208

# SbTe2OsS PBEsol optimized geometry
# Crystal system: tetragonal
# Final energy (eV/atom): -4.80
# Formation energy from raw total energies (eV/atom): 0.837
data_SbTe2OsS
_chemical_formula_sum 'Sb1 Te2 Os1 S1'
_symmetry_space_group_name_H-M 'P 4/m m m'
_symmetry_Int_Tables_number 123
_symmetry_space_group_name_Hall '-P 4 2'
_cell_length_a 5.116
_cell_length_b 5.116
_cell_length_c 5.090
_cell_angle_alpha 90.00
_cell_angle_beta 90.00
_cell_angle_gamma 90.00
loop_
_atom_site_label
_atom_site_type_symbol
_atom_site_fract_x
_atom_site_fract_y
_atom_site_fract_z
Sb1 Sb 0.000 0.000 0.000
Te1 Te 0.000 0.500 0.500
Os1 Os 0.000 0.000 0.500
S1 S 0.500 0.500 0.000